{"formula": "PrNd12Ni6", "functional": "PBE", "state": "relaxed", "crystal_system": "cubic", "final_energy_ev_per_atom": -5.26, "dos_ef_per_ev_fu": 24.54, "formation_enthalpy_0k_ev_per_atom": -0.173, "cell": [[-5.089, 5.089, 5.089], [5.089, -5.089, 5.089], [5.089, 5.089, -5.089]], "species": ["Pr", "Nd", "Nd", "Nd", "Nd", "Nd", "Nd", "Nd", "Nd", "Nd", "Nd", "Nd", "Nd", "Ni", "Ni", "Ni", "Ni", "Ni", "Ni"], "fractional_positions": [[0.000, 0.000, 0.000], [0.127, 0.815, 0.312], [0.185, 0.312, 0.497], [0.185, 0.688, 0.873], [0.312, 0.127, 0.815], [0.312, 0.497, 0.185], [0.497, 0.185, 0.312], [0.503, 0.815, 0.688], [0.688, 0.503, 0.815], [0.688, 0.873, 0.185], [0.815, 0.312, 0.127], [0.815, 0.688, 0.503], [0.873, 0.185, 0.688], [0.121, 0.621, 0.500], [0.379, 0.500, 0.879], [0.500, 0.121, 0.621], [0.500, 0.879, 0.379], [0.621, 0.500, 0.121], [0.879, 0.379, 0.500]]}


{"formula": "SmEr3Au", "functional": "PBE", "state": "relaxed", "crystal_system": "orthorhombic", "final_energy_ev_per_atom": -4.62, "dos_ef_per_ev_fu": 5.14, "formation_enthalpy_0k_ev_per_atom": -0.286, "cell": [[5.219, 0.000, 0.000], [0.000, 7.418, 0.000], [0.000, 0.000, 7.471]], "species": ["Sm", "Sm", "Er", "Er", "Er", "Er", "Er", "Er", "Au", "Au"], "fractional_positions": [[0.250, 0.250, 0.206], [0.750, 0.750, 0.794], [0.250, 0.034, 0.680], [0.250, 0.466, 0.680], [0.250, 0.750, 0.063], [0.750, 0.250, 0.937], [0.750, 0.534, 0.320], [0.750, 0.966, 0.320], [0.250, 0.750, 0.429], [0.750, 0.250, 0.571]]}


{"formula": "CaTa2Mo", "functional": "PBE", "state": "relaxed", "crystal_system": "tetragonal", "final_energy_ev_per_atom": -8.38, "dos_ef_per_ev_fu": 3.32, "formation_enthalpy_0k_ev_per_atom": 0.753, "cell": [[4.787, 0.000, 0.000], [0.000, 4.787, 0.000], [0.000, 0.000, 3.356]], "species": ["Ca", "Ta", "Ta", "Mo"], "fractional_positions": [[0.000, 0.000, 0.000], [0.000, 0.500, 0.500], [0.500, 0.000, 0.500], [0.500, 0.500, 0.000]]}


{"formula": "Ce2LuHf", "functional": "PBE", "state": "relaxed", "crystal_system": "trigonal", "de_polymorph_mev_per_atom": 164, "final_energy_ev_per_atom": -6.29, "dos_ef_per_ev_fu": 10.49, "formation_enthalpy_0k_ev_per_atom": 0.296, "cell": [[3.189, 0.000, 0.000], [-1.595, 2.762, 0.000], [0.000, 0.000, 35.789]], "species": ["Ce", "Ce", "Ce", "Ce", "Ce", "Ce", "Lu", "Lu", "Lu", "Hf", "Hf", "Hf"], "fractional_positions": [[0.000, 0.000, 0.082], [0.000, 0.000, 0.918], [0.333, 0.667, 0.585], [0.333, 0.667, 0.749], [0.667, 0.333, 0.251], [0.667, 0.333, 0.415], [0.000, 0.000, 0.500], [0.333, 0.667, 0.167], [0.667, 0.333, 0.833], [0.000, 0.000, 0.000], [0.333, 0.667, 0.667], [0.667, 0.333, 0.333]]}


{"formula": "RbSb2P2", "functional": "PBE", "state": "relaxed", "crystal_system": "tetragonal", "de_polymorph_mev_per_atom": 325, "final_energy_ev_per_atom": -3.76, "raw_formation_energy_ev_per_atom": 0.242, "dos_ef_per_ev_fu": 1.75, "cell": [[8.457, 0.000, 0.000], [0.000, 8.457, 0.000], [0.000, 0.000, 3.756]], "species": ["Rb", "Rb", "Sb", "Sb", "Sb", "Sb", "P", "P", "P", "P"], "fractional_positions": [[0.000, 0.000, 0.000], [0.500, 0.500, 0.000], [0.127, 0.373, 0.500], [0.373, 0.873, 0.500], [0.627, 0.127, 0.500], [0.873, 0.627, 0.500], [0.133, 0.633, 0.000], [0.367, 0.133, 0.000], [0.633, 0.867, 0.000], [0.867, 0.367, 0.000]]}